Record 1
A relaxed CrW crystal. Source: Alexandria via LeMat-Bulk, functional PBEsol.

a b c (Å): 2.6387 4.2415 4.9423
angles (deg): 90.00 100.36 90.00
Last column: nearest neighbours and their distance in Å.
Atoms (fractional coordinates):
W 0.8726 0.2500 0.6365  4 Cr 2.53-2.64, 4 W 2.64-2.66
W 0.1274 0.7500 0.3635  4 Cr 2.53-2.64, 4 W 2.64-2.66
Cr 0.3746 0.2500 0.1238  4 W 2.53-2.64, 4 Cr 2.59-2.64
Cr 0.6254 0.7500 0.8762  4 W 2.53-2.64, 4 Cr 2.59-2.64

E_form = 0.117 eV/atom

Record 2
A relaxed KPtSe2 crystal. Source: Alexandria via LeMat-Bulk, functional PBEsol.

a b c (Å): 3.7066 3.7066 8.3654
angles (deg): 77.20 77.20 60.00
Last column: nearest neighbours and their distance in Å.
Atoms (fractional coordinates):
Se 0.7355 0.7355 0.7934  3 Se 2.86, 3 K 3.17
Pt 0.2749 0.2749 0.1752  3 Se 2.45
Se 0.9908 0.9908 0.0275  3 Pt 2.45
K 0.4987 0.4987 0.5038  3 Se 3.17, 3 Pt 3.41

ΔE_f (raw) = -0.007 eV/atom

Record 3
A relaxed K2Cr2O7 crystal. Source: Alexandria via LeMat-Bulk, functional PBEsol.

a b c (Å): 7.3882 7.4126 13.3496
angles (deg): 94.47 97.99 90.62
Last column: nearest neighbours and their distance in Å.
Atoms (fractional coordinates):
Cr 0.8154 0.4287 0.1122  4 O 1.61-1.76
Cr 0.1846 0.5713 0.8878  4 O 1.61-1.76
O 0.9715 0.6921 0.4449  1 Cr 1.62
O 0.3548 0.2955 0.6620  1 Cr 1.61
O 0.0790 0.7061 0.9769  2 Cr 1.76-1.77
O 0.3115 0.0005 0.0442  1 Cr 1.62
Cr 0.6023 0.7786 0.6058  4 O 1.61-1.77
O 0.6885 0.9995 0.9558  1 Cr 1.62
O 0.3194 0.6973 0.8349  1 Cr 1.62
O 0.1313 0.0112 0.6438  1 Cr 1.61
K 0.7001 0.6626 0.8602  8 O 2.72-3.02
Cr 0.3977 0.2214 0.3942  4 O 1.61-1.77
Cr 0.8007 0.8217 0.4130  4 O 1.61-1.77
Cr 0.1910 0.8423 0.0829  4 O 1.61-1.77
O 0.0413 0.9297 0.1475  1 Cr 1.61
O 0.6452 0.7045 0.3380  1 Cr 1.61
Cr 0.1993 0.1783 0.5870  4 O 1.61-1.77
O 0.6806 0.3027 0.1651  1 Cr 1.62
O 0.7018 0.5872 0.0578  1 Cr 1.61
O 0.7127 0.9051 0.5242  2 Cr 1.77
K 0.1201 0.6462 0.6383  7 O 2.67-2.89
O 0.4351 0.0843 0.2992  1 Cr 1.62
O 0.6722 0.2835 0.8483  1 Cr 1.62
O 0.9210 0.2939 0.0231  2 Cr 1.76-1.77
O 0.0222 0.4873 0.8025  1 Cr 1.62
O 0.9778 0.5127 0.1975  1 Cr 1.62
K 0.2601 0.7560 0.3470  7 O 2.71-2.92
O 0.2873 0.0949 0.4758  2 Cr 1.77
O 0.2676 0.3819 0.3523  1 Cr 1.62
K 0.7399 0.2440 0.6530  7 O 2.71-2.92
O 0.2982 0.4128 0.9422  1 Cr 1.61
O 0.5873 0.3055 0.4549  1 Cr 1.61
O 0.5649 0.9157 0.7008  1 Cr 1.62
O 0.3278 0.7165 0.1517  1 Cr 1.62
K 0.8799 0.3538 0.3617  7 O 2.67-2.89
O 0.8687 0.9888 0.3562  1 Cr 1.61
K 0.2999 0.3374 0.1398  8 O 2.72-3.02
O 0.9587 0.0703 0.8525  1 Cr 1.61
O 0.7324 0.6181 0.6477  1 Cr 1.62
O 0.4127 0.6945 0.5451  1 Cr 1.61
O 0.0285 0.3079 0.5551  1 Cr 1.62
K 0.6616 0.9183 0.1599  9 O 2.75-2.97
Cr 0.8090 0.1577 0.9171  4 O 1.61-1.77
K 0.3384 0.0817 0.8401  9 O 2.75-2.97

ΔE_f (raw) = -1.905 eV/atom

no.,E (eV per atom)
1,-11.9074
2,-3.9563
3,-7.3141